Record 1
A relaxed structure of MnNiSe4, computed with PBE.

Lattice parameters (Å, degrees): 5.600 5.600 5.600 60.00 60.00 60.00
Sites, in units of the cell vectors:
1 Ni 0.000 0.000 0.000
2 Mn 0.750 0.750 0.750
3 Se 0.375 0.375 0.375
4 Se 0.375 0.375 0.876
5 Se 0.876 0.375 0.375
6 Se 0.375 0.876 0.375

Computed properties:
DOS at the Fermi energy = 6.721 states/eV/cell
formation energy (no corrections) = 887 meV per atom

---

Record 2
A relaxed structure of LaMg14Nb, computed with PBE.

Lattice parameters (Å, degrees): 6.562 6.562 10.460 90.00 90.00 123.87
Sites, in units of the cell vectors:
1 Mg 0.665 0.822 0.752
2 Mg 0.667 0.333 0.765
3 Mg 0.179 0.821 0.265
4 Mg 0.179 0.821 0.735
5 Mg 0.665 0.822 0.248
6 Mg 0.667 0.333 0.235
7 Mg 0.330 0.670 0.000
8 Mg 0.822 0.677 0.500
9 Mg 0.178 0.335 0.248
10 Mg 0.178 0.335 0.752
11 Mg 0.323 0.178 0.500
12 Mg 0.834 0.674 0.000
13 Mg 0.326 0.166 0.000
14 Mg 0.833 0.167 0.000
15 La 0.819 0.181 0.500
16 Nb 0.336 0.664 0.500

Computed properties:
DOS at the Fermi energy = 10.748 states/eV/cell
energy above the lowest structure with this stoichiometry = 0 meV/atom

---

Record 3
A relaxed structure of YRe2Au2, computed with PBE.

Lattice parameters (Å, degrees): 3.733 3.733 7.427 75.45 75.45 90.00
Sites, in units of the cell vectors:
1 Au 0.599 0.599 0.802
2 Au 0.401 0.401 0.198
3 Y 0.000 0.000 0.000
4 Re 0.250 0.750 0.500
5 Re 0.750 0.250 0.500

Computed properties:
DOS at the Fermi energy = 5.282 states/eV/cell
energy above the lowest structure with this stoichiometry = 0 meV/atom

---

Record 4
A relaxed structure of Tb6TlIr2Se3, computed with PBE.

Lattice parameters (Å, degrees): 4.041 8.625 9.714 111.81 102.00 90.00
Sites, in units of the cell vectors:
1 Tb 0.003 0.733 0.006
2 Tb 0.997 0.267 0.994
3 Tb 0.674 0.089 0.348
4 Tb 0.326 0.911 0.652
5 Tb 0.318 0.455 0.636
6 Tb 0.682 0.545 0.364
7 Se 0.166 0.817 0.332
8 Se 0.500 0.500 0.000
9 Se 0.834 0.183 0.668
10 Tl 0.500 0.000 0.000
11 Ir 0.154 0.296 0.308
12 Ir 0.846 0.704 0.692

Computed properties:
DOS at the Fermi energy = 5.312 states/eV/cell
formation energy (no corrections) = -1176 meV per atom

---

Record 5
A relaxed structure of Pr8Nd2Th3, computed with PBE.

Lattice parameters (Å, degrees): 10.461 11.553 10.324 124.02 137.90 90.00
Sites, in units of the cell vectors:
1 Pr 0.818 0.739 0.478
2 Pr 0.043 0.401 0.803
3 Pr 0.182 0.261 0.522
4 Pr 0.350 0.766 0.027
5 Pr 0.350 0.262 0.027
6 Pr 0.957 0.599 0.197
7 Pr 0.650 0.234 0.973
8 Pr 0.650 0.738 0.973
9 Th 0.500 0.000 0.000
10 Th 0.000 0.757 0.000
11 Th 0.000 0.243 0.000
12 Nd 0.433 0.184 0.368
13 Nd 0.567 0.816 0.632

Computed properties:
DOS at the Fermi energy = 21.383 states/eV/cell
E = -5.152 eV per atom

---

Record 6
A relaxed structure of ErBe4Pt, computed with PBE.

Lattice parameters (Å, degrees): 4.694 4.694 4.694 60.00 60.00 60.00
Sites, in units of the cell vectors:
1 Be 0.627 0.627 0.627
2 Be 0.627 0.120 0.627
3 Be 0.120 0.627 0.627
4 Be 0.627 0.627 0.120
5 Er 0.250 0.250 0.250
6 Pt 0.000 0.000 0.000

Computed properties:
DOS at the Fermi energy = 2.352 states/eV/cell
E = -4.565 eV per atom

---

Record 7
A relaxed structure of K2AgOs, computed with PBE.

Lattice parameters (Å, degrees): 4.639 2.772 9.700 92.15 90.00 90.00
Sites, in units of the cell vectors:
1 K 0.000 0.978 0.907
2 K 0.500 0.182 0.341
3 Os 0.000 0.421 0.597
4 Ag 0.500 0.919 0.654

Computed properties:
DOS at the Fermi energy = 3.679 states/eV/cell
energy above the lowest structure with this stoichiometry = 0 meV/atom

---

Record 8
A relaxed structure of BaLuMgPb, computed with PBE.

Lattice parameters (Å, degrees): 5.671 5.671 5.671 60.00 60.00 60.00
Sites, in units of the cell vectors:
1 Lu 0.250 0.250 0.250
2 Pb 0.500 0.500 0.500
3 Mg 0.000 0.000 0.000
4 Ba 0.750 0.750 0.750

Computed properties:
DOS at the Fermi energy = 3.112 states/eV/cell
E = -3.097 eV per atom

---

Record 9
A relaxed structure of NdGa4Ag, computed with PBE.

Lattice parameters (Å, degrees): 4.802 5.274 10.233 104.48 102.99 92.00
Sites, in units of the cell vectors:
1 Ga 0.645 0.147 0.789
2 Ga 0.076 0.077 0.652
3 Ga 0.145 0.647 0.789
4 Ga 0.424 0.423 0.348
5 Ga 0.576 0.577 0.652
6 Ga 0.855 0.353 0.211
7 Ga 0.924 0.923 0.348
8 Ga 0.355 0.853 0.211
9 Ag 0.500 0.000 0.500
10 Ag 0.000 0.500 0.500
11 Nd 0.750 0.750 0.000
12 Nd 0.250 0.250 0.000

Computed properties:
DOS at the Fermi energy = 6.711 states/eV/cell
energy above the lowest structure with this stoichiometry = 4 meV/atom

---

Record 10
A relaxed structure of Re2WSe, computed with PBE.

Lattice parameters (Å, degrees): 4.113 2.868 5.469 74.69 90.00 90.00
Sites, in units of the cell vectors:
1 Se 0.000 0.302 0.521
2 W 0.500 0.688 0.742
3 Re 0.500 0.441 0.248
4 Re 0.000 0.069 0.990

Computed properties:
DOS at the Fermi energy = 3.074 states/eV/cell
formation energy (no corrections) = 431 meV per atom

---

Record 11
A relaxed structure of Ce2TaReN6, computed with PBE.

Lattice parameters (Å, degrees): 5.543 5.669 7.922 90.00 89.90 90.00
Sites, in units of the cell vectors:
1 N 0.693 0.296 0.544
2 N 0.193 0.204 0.044
3 N 0.084 0.479 0.753
4 N 0.799 0.805 0.543
5 N 0.701 0.305 0.957
6 N 0.307 0.704 0.456
7 N 0.299 0.695 0.043
8 N 0.807 0.796 0.956
9 N 0.916 0.521 0.247
10 N 0.416 0.979 0.747
11 N 0.584 0.021 0.253
12 N 0.201 0.195 0.457
13 Re 0.500 0.000 0.500
14 Re 0.000 0.500 0.000
15 Ce 0.005 0.947 0.251
16 Ce 0.995 0.053 0.749
17 Ce 0.495 0.447 0.249
18 Ce 0.505 0.553 0.751
19 Ta 0.000 0.500 0.500
20 Ta 0.500 0.000 0.000

Computed properties:
DOS at the Fermi energy = 11.538 states/eV/cell
formation energy (no corrections) = -1034 meV per atom

---

Record 12
A relaxed structure of LiZnSb2, computed with PBE.

Lattice parameters (Å, degrees): 6.993 5.326 10.580 109.51 90.00 90.00
Sites, in units of the cell vectors:
1 Sb 0.246 0.514 0.385
2 Sb 0.754 0.014 0.885
3 Sb 0.162 0.973 0.622
4 Sb 0.838 0.027 0.378
5 Sb 0.838 0.473 0.122
6 Sb 0.754 0.486 0.615
7 Sb 0.246 0.986 0.115
8 Sb 0.162 0.527 0.878
9 Zn 0.357 0.031 0.866
10 Zn 0.357 0.469 0.634
11 Zn 0.643 0.531 0.366
12 Zn 0.643 0.969 0.134
13 Li 0.405 0.483 0.120
14 Li 0.595 0.983 0.620
15 Li 0.405 0.017 0.380
16 Li 0.595 0.517 0.880

Computed properties:
DOS at the Fermi energy = 7.491 states/eV/cell
formation energy (no corrections) = -94 meV per atom

---

Record 13
A relaxed structure of PrMgAl2Pt2, computed with PBE.

Lattice parameters (Å, degrees): 4.421 4.421 6.933 90.00 90.00 120.00
Sites, in units of the cell vectors:
1 Al 0.333 0.667 0.682
2 Al 0.667 0.333 0.318
3 Mg 0.000 0.000 0.500
4 Pt 0.667 0.333 0.707
5 Pt 0.333 0.667 0.293
6 Pr 0.000 0.000 0.000

Computed properties:
DOS at the Fermi energy = 3.344 states/eV/cell
E = -5.279 eV per atom

---

Record 14
A relaxed structure of Dy3Y6Th2, computed with PBE.

Lattice parameters (Å, degrees): 12.570 5.923 10.202 90.00 90.00 90.00
Sites, in units of the cell vectors:
1 Y 0.300 0.804 0.500
2 Y 0.218 0.277 0.661
3 Y 0.218 0.277 0.339
4 Y 0.800 0.696 0.000
5 Y 0.700 0.196 0.500
6 Y 0.282 0.777 0.839
7 Y 0.282 0.777 0.161
8 Y 0.718 0.223 0.161
9 Y 0.200 0.304 0.000
10 Y 0.782 0.723 0.661
11 Y 0.782 0.723 0.339
12 Y 0.718 0.223 0.839
13 Dy 0.500 0.000 0.681
14 Dy 0.500 0.000 0.319
15 Dy 0.000 0.500 0.181
16 Dy 0.000 0.000 0.000
17 Dy 0.500 0.500 0.500
18 Dy 0.000 0.500 0.819
19 Th 0.555 0.759 0.000
20 Th 0.055 0.741 0.500
21 Th 0.445 0.241 0.000
22 Th 0.945 0.259 0.500

Computed properties:
DOS at the Fermi energy = 36.592 states/eV/cell
E = -5.797 eV per atom

---

Record 15
A relaxed structure of TiGa, computed with PBE.

Lattice parameters (Å, degrees): 3.693 3.693 3.693 60.00 60.00 60.00
Sites, in units of the cell vectors:
1 Ga 0.000 0.000 0.000
2 Ti 0.500 0.500 0.500

Computed properties:
DOS at the Fermi energy = 1.992 states/eV/cell
E = -5.543 eV per atom